DFT (PBE) results for a geometry-optimized Np2Co3As4Ir structure.

Unit cell a=4.1401 b=4.1401 c=9.4751 alpha=90.00 beta=90.00 gamma=90.00
Space group P-4m2 (No. 115)
Unique sites:
1 Np 0.0000 0.5000 0.2444 [2 per cell]
2 Co 0.0000 0.5000 0.8872 [2 per cell]
3 Co 0.5000 0.5000 0.5000 [1 per cell]
4 As 0.0000 0.0000 0.0000 [1 per cell]
5 As 0.0000 0.5000 0.6454 [2 per cell]
6 As 0.5000 0.5000 0.0000 [1 per cell]
7 Ir 0.0000 0.0000 0.5000 [1 per cell]

Values from the calculation:
- Formation energy: -427.0 kJ/mol of formula units
- Size of the total moment: 7.564 μB per formula unit
- Calculated volume: 16.24 Å³ per atom

DFT (PBE) results for a geometry-optimized HfBe8Fe3 structure.

Unit cell a=4.2917 b=4.2917 c=7.1136 alpha=90.00 beta=90.00 gamma=120.00
Space group P3m1 (No. 156)
Unique sites:
1 Hf 0.0000 0.0000 0.0000 [1 per cell]
2 Be 0.1652 0.3304 0.6778 [3 per cell]
3 Be 0.3333 0.6667 0.4443 [1 per cell]
4 Be 0.3333 0.6667 0.9286 [1 per cell]
5 Be 0.5028 0.0055 0.2098 [3 per cell]
6 Fe 0.0000 0.0000 0.3793 [1 per cell]
7 Fe 0.6667 0.3333 0.5052 [1 per cell]
8 Fe 0.6667 0.3333 0.8632 [1 per cell]

Values from the calculation:
- Formation energy: -281.4 kJ/mol of formula units
- Size of the total moment: 3.638 μB per formula unit
- Calculated volume: 9.46 Å³ per atom

DFT (PBE) results for a geometry-optimized NaSr3Y2Te6 structure.

Unit cell a=7.9299 b=13.7235 c=7.9414 alpha=90.00 beta=109.43 gamma=90.00
Space group C2/m (No. 12)
Unique sites:
1 Na 0.0000 0.0000 0.0000 [2 per cell]
2 Sr 0.0000 0.1633 0.5000 [4 per cell]
3 Sr 0.0000 0.5000 0.5000 [2 per cell]
4 Y 0.0000 0.3325 0.0000 [4 per cell]
5 Te 0.2350 0.5000 0.2297 [4 per cell]
6 Te 0.2489 0.1710 0.2328 [8 per cell]

Values from the calculation:
- Size of the total moment: 0.000 μB per formula unit
- Calculated volume: 33.96 Å³ per atom
- Formation energy (no corrections): -1513 meV/atom

DFT (PBE) results for a geometry-optimized InSbP2S structure.

Unit cell a=5.0911 b=5.0911 c=5.0645 alpha=90.00 beta=90.00 gamma=90.00
Space group P4/mmm (No. 123)
Unique sites:
1 In 0.0000 0.0000 0.0000 [1 per cell]
2 Sb 0.5000 0.5000 0.5000 [1 per cell]
3 P 0.0000 0.5000 0.5000 [2 per cell]
4 S 0.5000 0.5000 0.0000 [1 per cell]

Values from the calculation:
- Offset from the most stable computed form: 0.00 eV/f.u.
- Size of the total moment: 0.091 μB per formula unit
- Calculated volume: 26.25 Å³ per atom
- Formation energy (no corrections): 725 meV/atom

DFT (PBE) results for a geometry-optimized Ac6Si2CBr3 structure.

Unit cell a=7.6042 b=13.1536 c=8.2453 alpha=90.00 beta=107.91 gamma=90.00
Space group C2/m (No. 12)
Unique sites:
1 Ac 0.2208 0.1540 0.2008 [8 per cell]
2 Ac 0.2399 0.0000 0.7980 [4 per cell]
3 Si 0.0000 0.3337 0.0000 [4 per cell]
4 C 0.0000 0.0000 0.0000 [2 per cell]
5 Br 0.0000 0.1732 0.5000 [4 per cell]
6 Br 0.0000 0.5000 0.5000 [2 per cell]

Values from the calculation:
- Size of the total moment: 0.000 μB per formula unit
- Calculated volume: 32.70 Å³ per atom
- Formation energy (no corrections): -919 meV/atom

DFT (PBE) results for a geometry-optimized Tm2GePb structure.

Unit cell a=3.4040 b=3.4040 c=8.4994 alpha=90.00 beta=90.00 gamma=90.00
Space group P4/mmm (No. 123)
Unique sites:
1 Tm 0.0000 0.0000 0.2188 [2 per cell]
2 Ge 0.5000 0.5000 0.0000 [1 per cell]
3 Pb 0.5000 0.5000 0.5000 [1 per cell]

Values from the calculation:
- Formation energy: -194.3 kJ/mol of formula units
- Size of the total moment: 0.000 μB per formula unit
- Calculated volume: 24.62 Å³ per atom

DFT (PBE) results for a geometry-optimized Nd3TmTh structure.

Unit cell a=6.3024 b=5.8864 c=9.6811 alpha=90.00 beta=108.90 gamma=90.00
Space group P2_1/m (No. 11)
Unique sites:
1 Nd 0.1475 0.2500 0.0960 [2 per cell]
2 Nd 0.2682 0.7500 0.7104 [2 per cell]
3 Nd 0.3312 0.2500 0.5074 [2 per cell]
4 Tm 0.0714 0.7500 0.2997 [2 per cell]
5 Th 0.4759 0.7500 0.1006 [2 per cell]

Values from the calculation:
- Formation energy: 26.4 kJ/mol of formula units
- Offset from the most stable computed form: 0.00 eV/f.u.
- Size of the total moment: 0.000 μB per formula unit
- Calculated volume: 33.98 Å³ per atom

DFT (PBE) results for a geometry-optimized CaScS2 structure.

Unit cell a=6.6052 b=3.8142 c=6.7521 alpha=90.00 beta=108.96 gamma=90.00
Space group C2/m (No. 12)
Unique sites:
1 Ca 0.0000 0.0000 0.0000 [2 per cell]
2 Sc 0.0000 0.5000 0.5000 [2 per cell]
3 S 0.2438 0.0000 0.7311 [4 per cell]

Values from the calculation:
- Offset from the most stable computed form: 0.00 eV/f.u.
- Size of the total moment: 0.000 μB per formula unit
- Calculated volume: 20.11 Å³ per atom
- Formation energy (no corrections): -1975 meV/atom

DFT (PBE) results for a geometry-optimized Nd4MgIr structure.

Unit cell a=14.1842 b=14.1842 c=14.1842 alpha=90.00 beta=90.00 gamma=90.00
Space group F-43m (No. 216)
Unique sites:
1 Nd 0.0000 0.0000 0.1882 [24 per cell]
2 Nd 0.0616 0.2500 0.2500 [24 per cell]
3 Nd 0.1532 0.1532 0.6532 [16 per cell]
4 Mg 0.0789 0.0789 0.4211 [16 per cell]
5 Ir 0.1417 0.1417 0.8583 [16 per cell]

Values from the calculation:
- Formation energy: -208.2 kJ/mol of formula units
- Offset from the most stable computed form: 0.00 eV/f.u.
- Size of the total moment: 0.000 μB per formula unit
- Calculated volume: 29.73 Å³ per atom

DFT (PBE) results for a geometry-optimized La2AlTcHg structure.

Unit cell a=5.3981 b=5.3981 c=4.9553 alpha=90.00 beta=90.00 gamma=90.00
Space group P4/mmm (No. 123)
Unique sites:
1 La 0.0000 0.5000 0.0000 [2 per cell]
2 Al 0.0000 0.0000 0.5000 [1 per cell]
3 Tc 0.0000 0.0000 0.0000 [1 per cell]
4 Hg 0.5000 0.5000 0.5000 [1 per cell]

Values from the calculation:
- Formation energy: -94.6 kJ/mol of formula units
- Size of the total moment: 0.000 μB per formula unit
- Calculated volume: 28.88 Å³ per atom

DFT (PBE) results for a geometry-optimized ErHf2Be structure.

Unit cell a=3.1721 b=3.1721 c=30.1575 alpha=90.00 beta=90.00 gamma=120.00
Space group R-3m (No. 166, hexagonal axes)
Unique sites:
1 Er 0.0000 0.0000 0.0000 [3 per cell]
2 Hf 0.0000 0.0000 0.1069 [6 per cell]
3 Be 0.0000 0.0000 0.5000 [3 per cell]

Values from the calculation:
- Formation energy: 151.7 kJ/mol of formula units
- Size of the total moment: 0.000 μB per formula unit
- Calculated volume: 21.90 Å³ per atom

DFT (PBE) results for a geometry-optimized Nd7Dy2Mg2 structure.

Unit cell a=10.8222 b=11.6372 c=6.1764 alpha=90.00 beta=111.93 gamma=90.00
Space group C2/m (No. 12)
Unique sites:
1 Nd 0.0000 0.0000 0.0000 [2 per cell]
2 Nd 0.0799 0.5000 0.7981 [4 per cell]
3 Nd 0.1794 0.2413 0.1906 [8 per cell]
4 Dy 0.2071 0.0000 0.5887 [4 per cell]
5 Mg 0.0000 0.2253 0.5000 [4 per cell]

Values from the calculation:
- Formation energy: 118.6 kJ/mol of formula units
- Offset from the most stable computed form: 0.56 eV/f.u.
- Size of the total moment: 0.000 μB per formula unit
- Calculated volume: 32.80 Å³ per atom

DFT (PBE) results for a geometry-optimized Pm4Sm5Cd structure.

Unit cell a=3.6581 b=3.6581 c=24.5614 alpha=90.00 beta=90.00 gamma=90.00
Space group P4/mmm (No. 123)
Unique sites:
1 Pm 0.0000 0.0000 0.1042 [2 per cell]
2 Pm 0.0000 0.0000 0.3126 [2 per cell]
3 Sm 0.5000 0.5000 0.0000 [1 per cell]
4 Sm 0.5000 0.5000 0.2086 [2 per cell]
5 Sm 0.5000 0.5000 0.4157 [2 per cell]
6 Cd 0.0000 0.0000 0.5000 [1 per cell]

Values from the calculation:
- Formation energy: -49.5 kJ/mol of formula units
- Size of the total moment: 0.000 μB per formula unit
- Calculated volume: 32.87 Å³ per atom

DFT (PBE) results for a geometry-optimized Pm2PrTeO8 structure.

Unit cell a=4.2861 b=7.3659 c=5.4056 alpha=90.00 beta=94.89 gamma=90.00
Space group P2/m (No. 10)
Unique sites:
1 Pm 0.0000 0.2448 0.0000 [2 per cell]
2 Pr 0.5000 0.5000 0.5000 [1 per cell]
3 Te 0.5000 0.0000 0.5000 [1 per cell]
4 O 0.0151 0.5000 0.2478 [2 per cell]
5 O 0.0958 0.0000 0.3059 [2 per cell]
6 O 0.4328 0.2026 0.7346 [4 per cell]

Values from the calculation:
- Size of the total moment: 0.901 μB per formula unit
- Calculated volume: 14.17 Å³ per atom
- Formation energy (no corrections): -2380 meV/atom

DFT (PBE) results for a geometry-optimized Ti2SbO structure.

Unit cell a=3.3234 b=3.3234 c=18.8487 alpha=90.00 beta=90.00 gamma=120.00
Space group R-3m (No. 166, hexagonal axes)
Unique sites:
1 Ti 0.0000 0.0000 0.2179 [6 per cell]
2 Sb 0.0000 0.0000 0.0000 [3 per cell]
3 O 0.0000 0.0000 0.5000 [3 per cell]

Values from the calculation:
- Offset from the most stable computed form: 0.00 eV/f.u.
- Size of the total moment: 0.000 μB per formula unit
- Calculated volume: 15.02 Å³ per atom
- Formation energy (no corrections): -1269 meV/atom

DFT (PBE) results for a geometry-optimized BaCa2Tl2 structure.

Unit cell a=9.3941 b=9.3941 c=4.0763 alpha=90.00 beta=90.00 gamma=90.00
Space group P4/mbm (No. 127)
Unique sites:
1 Ba 0.0000 0.0000 0.0000 [2 per cell]
2 Ca 0.1605 0.3395 0.5000 [4 per cell]
3 Tl 0.1315 0.6315 0.0000 [4 per cell]

Values from the calculation:
- Formation energy: -148.6 kJ/mol of formula units
- Offset from the most stable computed form: 0.17 eV/f.u.
- Size of the total moment: 0.000 μB per formula unit
- Calculated volume: 35.97 Å³ per atom

DFT (PBE) results for a geometry-optimized Zr2OsBr structure.

Unit cell a=3.3620 b=3.3620 c=7.9889 alpha=90.00 beta=90.00 gamma=90.00
Space group P4mm (No. 99)
Unique sites:
1 Zr 0.0000 0.0000 0.0000 [1 per cell]
2 Zr 0.5000 0.5000 0.2606 [1 per cell]
3 Os 0.5000 0.5000 0.8499 [1 per cell]
4 Br 0.0000 0.0000 0.4798 [1 per cell]

Values from the calculation:
- Offset from the most stable computed form: 1.90 eV/f.u.
- Size of the total moment: 0.000 μB per formula unit
- Calculated volume: 22.58 Å³ per atom
- Formation energy (no corrections): -17 meV/atom

DFT (PBE) results for a geometry-optimized CeTl2Pd structure.

Unit cell a=4.8513 b=4.8513 c=16.8889 alpha=90.00 beta=90.00 gamma=90.00
Space group I4/mmm (No. 139)
Unique sites:
1 Ce 0.0000 0.0000 0.1442 [4 per cell]
2 Tl 0.0000 0.0000 0.3524 [4 per cell]
3 Tl 0.0000 0.5000 0.0000 [4 per cell]
4 Pd 0.0000 0.5000 0.2500 [4 per cell]

Values from the calculation:
- Formation energy: -149.1 kJ/mol of formula units
- Offset from the most stable computed form: 0.00 eV/f.u.
- Size of the total moment: 0.817 μB per formula unit
- Calculated volume: 24.84 Å³ per atom

DFT (PBE) results for a geometry-optimized BaYAl2 structure.

Unit cell a=9.9784 b=4.4962 c=6.7675 alpha=90.00 beta=116.17 gamma=90.00
Space group C2/m (No. 12)
Unique sites:
1 Ba 0.0000 0.0000 0.0000 [2 per cell]
2 Y 0.0000 0.5000 0.5000 [2 per cell]
3 Al 0.2323 0.0000 0.6026 [4 per cell]

Values from the calculation:
- Formation energy: -34.5 kJ/mol of formula units
- Offset from the most stable computed form: 0.56 eV/f.u.
- Size of the total moment: 0.000 μB per formula unit
- Calculated volume: 34.06 Å³ per atom

DFT (PBE) results for a geometry-optimized LiNbPt3 structure.

Unit cell a=4.9170 b=4.9170 c=4.9170 alpha=90.00 beta=90.00 gamma=90.00
Space group Pm-3m (No. 221)
Unique sites:
1 Li 0.0000 0.0000 0.0000 [1 per cell]
2 Nb 0.5000 0.5000 0.5000 [1 per cell]
3 Pt 0.0000 0.5000 0.5000 [3 per cell]

Values from the calculation:
- Formation energy: 271.5 kJ/mol of formula units
- Offset from the most stable computed form: 5.02 eV/f.u.
- Size of the total moment: 0.000 μB per formula unit
- Calculated volume: 23.78 Å³ per atom

DFT (PBE) results for a geometry-optimized Nd3Dy8Er2 structure.

Unit cell a=20.7868 b=5.0417 c=7.9903 alpha=90.00 beta=94.32 gamma=90.00
Space group C2/m (No. 12)
Unique sites:
1 Nd 0.0000 0.0000 0.0000 [2 per cell]
2 Nd 0.0390 0.5000 0.3069 [4 per cell]
3 Dy 0.0788 0.0000 0.6145 [4 per cell]
4 Dy 0.1177 0.5000 0.9212 [4 per cell]
5 Dy 0.1560 0.0000 0.2300 [4 per cell]
6 Dy 0.1932 0.5000 0.5387 [4 per cell]
7 Er 0.2311 0.0000 0.8462 [4 per cell]

Values from the calculation:
- Formation energy: 26.7 kJ/mol of formula units
- Offset from the most stable computed form: 0.00 eV/f.u.
- Size of the total moment: 0.000 μB per formula unit
- Calculated volume: 32.12 Å³ per atom

DFT (PBE) results for a geometry-optimized TbEr3Tl4Te8 structure.

Unit cell a=8.8686 b=8.8686 c=24.5652 alpha=90.00 beta=90.00 gamma=120.00
Space group R-3m (No. 166, hexagonal axes)
Unique sites:
1 Tb 0.0000 0.0000 0.0000 [3 per cell]
2 Er 0.0000 0.5000 0.0000 [9 per cell]
3 Tl 0.0000 0.0000 0.5000 [3 per cell]
4 Tl 0.0000 0.5000 0.5000 [9 per cell]
5 Te 0.0000 0.0000 0.2630 [6 per cell]
6 Te 0.0026 0.5013 0.2625 [18 per cell]

Values from the calculation:
- Size of the total moment: 0.000 μB per formula unit
- Calculated volume: 34.86 Å³ per atom
- Formation energy (no corrections): -1043 meV/atom

DFT (PBE) results for a geometry-optimized LiLaEuZn structure.

Unit cell a=7.6294 b=7.6294 c=7.6294 alpha=90.00 beta=90.00 gamma=90.00
Space group F-43m (No. 216)
Unique sites:
1 Li 0.0000 0.0000 0.0000 [4 per cell]
2 La 0.2500 0.2500 0.7500 [4 per cell]
3 Eu 0.2500 0.2500 0.2500 [4 per cell]
4 Zn 0.0000 0.0000 0.5000 [4 per cell]

Values from the calculation:
- Formation energy: -34.5 kJ/mol of formula units
- Size of the total moment: 7.589 μB per formula unit
- Calculated volume: 27.76 Å³ per atom